(1)
A plane-wave DFT calculation with PBE was carried out for an optimized crystal structure of BaAl3Zn3.

It has space group P2_1/m (No. 11), with a = 7.8660 Å, b = 4.5842 Å, c = 9.1682 Å, α = 90.00°, β = 115.17° and γ = 90.00°. The asymmetric unit holds Ba at (0.0743, 0.2500, 0.3232), Al at (0.2195, 0.2500, 0.9895), Al at (0.3907, 0.7500, 0.9397), Al at (0.4456, 0.7500, 0.3894), Zn at (0.1697, 0.7500, 0.1027), Zn at (0.2967, 0.2500, 0.7387) and Zn at (0.4105, 0.7500, 0.6614).

Its density of states at the Fermi level is 0.30 states/eV/atom. The value obtained for the formation energy from the elements is -0.14 eV/atom. The calculation puts the magnetization at 0.000 μB/f.u.

(2)
A plane-wave DFT calculation with PBE was carried out for an optimized crystal structure of BaAlZn2.

It has space group I4_1/amd (No. 141, origin choice 2), with a = 5.2271 Å, b = 5.2271 Å, c = 17.1847 Å, α = 90.00°, β = 90.00° and γ = 90.00°. The asymmetric unit holds Ba at (0.0000, 0.2500, 0.3750), Al at (0.0000, 0.2500, 0.8750) and Zn at (0.0000, 0.0000, 0.0000).

Its density of states at the Fermi level is 0.71 states/eV/atom. The value obtained for the formation energy from the elements is -0.08 eV/atom. The calculation puts the magnetization at 0.000 μB/f.u.

(3)
A plane-wave DFT calculation with PBE was carried out for an optimized crystal structure of BaAl12Zn6.

It has space group R-3m (No. 166, hexagonal axes), with a = 12.0278 Å, b = 12.0278 Å, c = 8.6838 Å, α = 90.00°, β = 90.00° and γ = 120.00°. The asymmetric unit holds Ba at (0.0000, 0.0000, 0.0000), Al at (0.0000, 0.3903, 0.5000), Al at (0.0795, 0.1590, 0.3482) and Zn at (0.0116, 0.5058, 0.2386).

Its density of states at the Fermi level is 0.42 states/eV/atom. The value obtained for the formation energy from the elements is 0.05 eV/atom. The calculation puts the magnetization at 0.000 μB/f.u.

(4)
A plane-wave DFT calculation with PBE was carried out for an optimized crystal structure of BaAlZn2.

It has space group Cm (No. 8), with a = 7.6231 Å, b = 4.3999 Å, c = 6.6654 Å, α = 90.00°, β = 112.48° and γ = 90.00°. The asymmetric unit holds Ba at (0.0000, 0.0000, 0.0000), Al at (0.2996, 0.5000, 0.3987), Zn at (0.0071, 0.5000, 0.5211) and Zn at (0.1961, 0.0000, 0.5883).

Its density of states at the Fermi level is 0.85 states/eV/atom. The value obtained for the formation energy from the elements is -0.17 eV/atom. The calculation puts the magnetization at 0.002 μB/f.u.

(5)
A plane-wave DFT calculation with PBE was carried out for an optimized crystal structure of Ba2Al2Zn3.

It has space group C2/m (No. 12), with a = 12.1114 Å, b = 4.5892 Å, c = 7.1688 Å, α = 90.00°, β = 115.34° and γ = 90.00°. The asymmetric unit holds Ba at (0.1430, 0.0000, 0.2972), Al at (0.1765, 0.0000, 0.8358), Zn at (0.0000, 0.5000, 0.5000) and Zn at (0.0859, 0.5000, 0.9096).

Its density of states at the Fermi level is 0.59 states/eV/atom. The value obtained for the formation energy from the elements is -0.14 eV/atom. The calculation puts the magnetization at 0.000 μB/f.u.

(6)
A plane-wave DFT calculation with PBE was carried out for an optimized crystal structure of Ba3Al2Zn9.

It has space group Immm (No. 71), with a = 4.4086 Å, b = 11.2948 Å, c = 13.0746 Å, α = 90.00°, β = 90.00° and γ = 90.00°. The asymmetric unit holds Ba at (0.0000, 0.0000, 0.0000), Ba at (0.0000, 0.0000, 0.2900), Al at (0.0000, 0.1940, 0.5000), Zn at (0.0000, 0.2893, 0.1148), Zn at (0.0000, 0.3146, 0.3237) and Zn at (0.0000, 0.5000, 0.0000).

Its density of states at the Fermi level is 0.62 states/eV/atom. The value obtained for the formation energy from the elements is -0.16 eV/atom. The calculation puts the magnetization at 0.000 μB/f.u.